A relaxed Ta2TeRu crystal. Source: the Alexandria database, functional PBE-GGA.

Cell and atoms, written as extended XYZ:
```
4
Lattice="3.3741 0.0000 0.0000 0.0000 4.6440 0.0000 0.0000 0.0000 4.5228" Properties=species:S:1:pos:R:3 pbc="T T T"
Ru 0.0000 2.3220 2.2614
Ta 0.0000 0.0000 0.0000
Ta 1.6871 2.3220 0.0000
Te 1.6871 0.0000 2.2614
```

Values from the calculation:
* magnetic moment: 0.00 μB/f.u.
* space group: No. 47
* electronic total energy: -8.9429 eV per atom
* volume: 71 Å³/f.u.
* formation energy without anion corrections: 88 meV per atom
* crystal system: orthorhombic

A relaxed Ta2TeRu crystal. Source: the Alexandria database, functional PBE-GGA.

Cell and atoms, written as extended XYZ:
```
4
Lattice="-0.5047 2.6334 -3.9771 -4.4217 -1.4545 1.1578 -0.4005 2.6601 1.8122" Properties=species:S:1:pos:R:3 pbc="T T T"
Ru -2.4111 0.6028 1.4850
Ta 0.0000 0.0000 0.0000
Ta -2.4632 0.5895 -1.4097
Te -0.4526 2.6468 -1.0825
```

Values from the calculation:
* magnetic moment: 0.00 μB/f.u.
* space group: No. 65
* electronic total energy: -8.8422 eV per atom
* volume: 72 Å³/f.u.
* formation energy without anion corrections: 188 meV per atom
* crystal system: orthorhombic

A relaxed TaTeRu3 crystal. Source: the Alexandria database, functional PBE-GGA.

Cell and atoms, written as extended XYZ:
```
5
Lattice="-3.2029 -1.3664 3.2435 -0.6628 -4.0729 -2.3703 3.4566 -2.0471 2.5509" Properties=species:S:1:pos:R:3 pbc="T T T"
Ru -0.3314 -2.0364 -1.1852
Ru 1.7283 -1.0236 1.2755
Ru -1.6015 -0.6832 1.6217
Te -0.2046 -3.7432 1.7121
Ta 0.0000 0.0000 0.0000
```

Values from the calculation:
* magnetic moment: 1.57 μB/f.u.
* space group: No. 221
* electronic total energy: -7.1806 eV per atom
* volume: 108 Å³/f.u.
* formation energy without anion corrections: 1384 meV per atom
* crystal system: cubic

Number 1: DOS(E_F) 0.473 states/eV/atom. Number 2: DOS(E_F) 0.979 states/eV/atom. Number 3: DOS(E_F) 1.121 states/eV/atom.